5
Lattice="4.7742 0.0000 0.0000 0.0000 4.7742 0.0000 0.0000 0.0000 4.7742" Properties=species:S:1:pos:R:3 comment="RbTc3Br PBE optimized geometry" magmom_total_mub_per_fu=3.14 de_polymorph_ev_per_atom=0.0000 e_form_raw_kcal_per_mol_atoms=43.34 pbc="T T T"
Rb 0.0000 0.0000 0.0000
Tc 0.0000 2.3871 2.3871
Tc 2.3871 0.0000 2.3871
Tc 2.3871 2.3871 0.0000
Br 2.3871 2.3871 2.3871